A plane-wave DFT calculation with GGA+U was carried out for a relaxed La2MoO6 crystal.

Results
V, Å³ per cell: 283.7
Total magnetization, Bohr magnetons per cell: 0.00
Density of states at the Fermi level, states/eV per atom: 0.000
E_tot, eV per formula unit: -70.5
Crystal system: tetragonal

Geometry as extended XYZ:
```
18
Lattice="-2.264 4.011 -2.411 -3.584 -3.209 -1.971 -6.076 1.623 8.407" Properties=species:S:1:pos:R:3 pbc="T T T"
O -5.762 1.295 3.973
La -2.013 0.537 2.785
O -7.860 1.583 2.400
O -7.729 4.111 4.900
O -4.064 0.842 1.624
O -1.543 0.212 -1.156
La -3.950 0.675 -0.772
O -6.311 -0.693 2.128
O -8.575 -0.517 5.182
La -4.064 1.085 5.622
Mo 0.000 0.000 0.000
O -4.305 0.590 -3.226
La -7.975 1.750 4.797
O -3.350 2.942 -1.158
Mo -5.962 1.212 2.012
O -6.163 1.130 0.052
O -5.614 3.117 1.896
O -4.196 -1.687 -0.876
```